A relaxed structure of Mn2Tl3Se4. Source: the Alexandria database, functional GGA-PBE.

Properties
SG: No. 15
Energy relative to the elements, uncorrected, eV/atom: -0.401
D(E_F), states/eV per atom: 0.4414

```
data_Mn2Tl3Se4
_symmetry_space_group_name_H-M 'P 1'
_symmetry_Int_Tables_number 1
_cell_length_a 8.999
_cell_length_b 8.999
_cell_length_c 6.806
_cell_angle_alpha 90.94
_cell_angle_beta 90.94
_cell_angle_gamma 74.41
loop_
_symmetry_equiv_pos_as_xyz
'x,y,z'
loop_
_atom_site_label
_atom_site_type_symbol
_atom_site_fract_x
_atom_site_fract_y
_atom_site_fract_z
Mn1 Mn 0.088 0.329 0.079
Mn2 Mn 0.329 0.088 0.579
Mn3 Mn 0.671 0.912 0.421
Mn4 Mn 0.912 0.671 0.921
Tl1 Tl 0.102 0.898 0.250
Tl2 Tl 0.252 0.517 0.526
Tl3 Tl 0.483 0.748 0.974
Tl4 Tl 0.517 0.252 0.026
Tl5 Tl 0.748 0.483 0.474
Tl6 Tl 0.898 0.102 0.750
Se1 Se 0.086 0.249 0.426
Se2 Se 0.190 0.554 0.008
Se3 Se 0.249 0.086 0.926
Se4 Se 0.446 0.810 0.492
Se5 Se 0.554 0.190 0.508
Se6 Se 0.751 0.914 0.074
Se7 Se 0.810 0.446 0.992
Se8 Se 0.914 0.751 0.574
```


A relaxed structure of Si2AsSe. Source: the Alexandria database, functional GGA-PBE.

Properties
SG: No. 35
Excess energy over the best structure of this formula in the dataset, meV per atom: 494
Energy relative to the elements, uncorrected, eV/atom: 0.480
D(E_F), states/eV per atom: 0.4563

```
data_Si2AsSe
_symmetry_space_group_name_H-M 'P 1'
_symmetry_Int_Tables_number 1
_cell_length_a 2.686
_cell_length_b 2.686
_cell_length_c 10.581
_cell_angle_alpha 90.00
_cell_angle_beta 90.00
_cell_angle_gamma 96.90
loop_
_symmetry_equiv_pos_as_xyz
'x,y,z'
loop_
_atom_site_label
_atom_site_type_symbol
_atom_site_fract_x
_atom_site_fract_y
_atom_site_fract_z
Si1 Si 0.000 0.000 0.000
Si2 Si 0.500 0.500 0.195
As1 As 0.500 0.500 0.795
Se1 Se 0.000 0.000 0.475
```


A relaxed structure of AcDyZn2Si2. Source: the Alexandria database, functional GGA-PBE.

Properties
SG: No. 164
Energy relative to the elements, uncorrected, eV/atom: -0.587
D(E_F), states/eV per atom: 0.6616

```
data_AcDyZn2Si2
_symmetry_space_group_name_H-M 'P 1'
_symmetry_Int_Tables_number 1
_cell_length_a 4.198
_cell_length_b 4.198
_cell_length_c 8.646
_cell_angle_alpha 90.00
_cell_angle_beta 90.00
_cell_angle_gamma 120.00
loop_
_symmetry_equiv_pos_as_xyz
'x,y,z'
loop_
_atom_site_label
_atom_site_type_symbol
_atom_site_fract_x
_atom_site_fract_y
_atom_site_fract_z
Ac1 Ac 0.000 0.000 0.000
Dy1 Dy 0.000 0.000 0.500
Zn1 Zn 0.333 0.667 0.729
Zn2 Zn 0.667 0.333 0.271
Si1 Si 0.333 0.667 0.275
Si2 Si 0.667 0.333 0.725
```


A relaxed structure of Dy2Ti2Ni15. Source: the Alexandria database, functional GGA-PBE.

Properties
SG: No. 166
Formation enthalpy at 0 K, eV per atom: -0.32
D(E_F), states/eV per atom: 1.4848

```
data_Dy2Ti2Ni15
_symmetry_space_group_name_H-M 'P 1'
_symmetry_Int_Tables_number 1
_cell_length_a 6.330
_cell_length_b 6.330
_cell_length_c 6.330
_cell_angle_alpha 82.19
_cell_angle_beta 82.19
_cell_angle_gamma 82.19
loop_
_symmetry_equiv_pos_as_xyz
'x,y,z'
loop_
_atom_site_label
_atom_site_type_symbol
_atom_site_fract_x
_atom_site_fract_y
_atom_site_fract_z
Dy1 Dy 0.151 0.151 0.151
Dy2 Dy 0.849 0.849 0.849
Ti1 Ti 0.398 0.398 0.398
Ti2 Ti 0.602 0.602 0.602
Ni1 Ni 0.000 0.500 0.500
Ni2 Ni 0.156 0.156 0.655
Ni3 Ni 0.156 0.655 0.156
Ni4 Ni 0.201 0.500 0.799
Ni5 Ni 0.201 0.799 0.500
Ni6 Ni 0.345 0.844 0.844
Ni7 Ni 0.500 0.000 0.500
Ni8 Ni 0.500 0.201 0.799
Ni9 Ni 0.500 0.500 0.000
Ni10 Ni 0.500 0.799 0.201
Ni11 Ni 0.655 0.156 0.156
Ni12 Ni 0.799 0.201 0.500
Ni13 Ni 0.799 0.500 0.201
Ni14 Ni 0.844 0.345 0.844
Ni15 Ni 0.844 0.844 0.345
```


A relaxed structure of In2FeOsN. Source: the Alexandria database, functional GGA-PBE.

Properties
SG: No. 123
Energy relative to the elements, uncorrected, eV/atom: 0.581
D(E_F), states/eV per atom: 0.6600

```
data_In2FeOsN
_symmetry_space_group_name_H-M 'P 1'
_symmetry_Int_Tables_number 1
_cell_length_a 4.721
_cell_length_b 4.721
_cell_length_c 3.443
_cell_angle_alpha 90.00
_cell_angle_beta 90.00
_cell_angle_gamma 90.00
loop_
_symmetry_equiv_pos_as_xyz
'x,y,z'
loop_
_atom_site_label
_atom_site_type_symbol
_atom_site_fract_x
_atom_site_fract_y
_atom_site_fract_z
In1 In 0.000 0.500 0.000
In2 In 0.500 0.000 0.000
Fe1 Fe 0.000 0.000 0.500
Os1 Os 0.500 0.500 0.500
N1 N 0.000 0.000 0.000
```


A relaxed structure of Mg2AgAu2. Source: the Alexandria database, functional GGA-PBE.

Properties
SG: No. 12
Excess energy over the best structure of this formula in the dataset, meV per atom: 36
Formation enthalpy at 0 K, eV per atom: -0.39
D(E_F), states/eV per atom: 0.3844

```
data_Mg2AgAu2
_symmetry_space_group_name_H-M 'P 1'
_symmetry_Int_Tables_number 1
_cell_length_a 4.615
_cell_length_b 4.615
_cell_length_c 5.458
_cell_angle_alpha 113.47
_cell_angle_beta 113.47
_cell_angle_gamma 60.98
loop_
_symmetry_equiv_pos_as_xyz
'x,y,z'
loop_
_atom_site_label
_atom_site_type_symbol
_atom_site_fract_x
_atom_site_fract_y
_atom_site_fract_z
Mg1 Mg 0.103 0.103 0.304
Mg2 Mg 0.897 0.897 0.696
Ag1 Ag 0.500 0.500 0.500
Au1 Au 0.292 0.292 0.879
Au2 Au 0.708 0.708 0.121
```


Number 1: DFT total energy -4.7756 eV per atom, M_tot 18.00 μB per cell. Number 2: DFT total energy -4.2655 eV per atom, M_tot 0.00 μB per cell. Number 3: DFT total energy -4.2711 eV per atom, M_tot 0.00 μB per cell. Number 4: DFT total energy -6.1959 eV per atom, M_tot 0.80 μB per cell. Number 5: DFT total energy -6.1176 eV per atom, M_tot 0.00 μB per cell. Number 6: DFT total energy -2.9106 eV per atom, M_tot 0.00 μB per cell.